Compound: YScMnCl2
Source: Alexandria via LeMat-Bulk
Functional: PBE
Structure: relaxed

The structure in POSCAR format:
```
YScMnCl2
1.0
5.070 0.000 0.000
0.000 6.261 0.000
0.000 0.000 5.070
Sc Cl Y Mn
1 2 1 1
Direct
0.500 0.500 0.500
0.000 0.000 0.500
0.500 0.000 0.000
0.000 0.000 0.000
0.000 0.500 0.000
```

For the formation energy (no corrections), the calculation gives -0.140 eV/atom. Its uncorrected energy is -26.4 eV per formula unit. The calculation puts the density of states at the Fermi level at 7.90 states/eV/cell. As for the space group: P4/mmm (123). For the spin magnetization, the calculation gives 3.07 μB/cell.